Record 1
VASP calculation (PBE-GGA) on a geometry-optimized Th4SiTe3 structure.

abc: 4.377 7.710 7.710
angles: 108.91 90.00 90.00
Element x y z (fractional)
Th 0.500 0.768 0.232
Te 0.000 0.500 0.000
Si 0.500 0.000 0.000
Te 0.500 0.500 0.500
Th 0.000 0.780 0.780
Te 0.000 0.000 0.500
Th 0.500 0.232 0.768
Th 0.000 0.220 0.220

Output
Formation energy (no corrections) = -1.00 eV per atom
Volume = 246 Å³ per cell
Magnetization = 0.00 μB per atom

---

Record 2
VASP calculation (PBE-GGA) on a geometry-optimized Th2SiTe structure.

abc: 4.327 4.327 7.758
angles: 106.20 90.00 120.00
Element x y z (fractional)
Th 0.737 0.974 0.711
Te 0.500 0.500 0.000
Si 0.000 0.500 0.500
Th 0.263 0.026 0.289

Output
Formation energy (no corrections) = -0.98 eV per atom
Volume = 119 Å³ per cell
Magnetization = 0.00 μB per atom
Offset from the most stable computed form = 0 meV per atom

---

Record 3
VASP calculation (PBE-GGA) on a geometry-optimized Ti7SiTe12 structure.

abc: 8.632 8.632 8.632
angles: 107.67 107.67 107.67
Element x y z (fractional)
Te 0.849 0.617 0.531
Ti 0.969 0.676 0.891
Ti 0.676 0.891 0.969
Te 0.617 0.531 0.849
Te 0.919 0.312 0.769
Te 0.531 0.849 0.617
Ti 0.109 0.031 0.324
Te 0.231 0.081 0.688
Ti 0.500 0.500 0.500
Te 0.688 0.231 0.081
Te 0.469 0.151 0.383
Ti 0.031 0.324 0.109
Ti 0.891 0.969 0.676
Te 0.151 0.383 0.469
Te 0.769 0.919 0.312
Te 0.383 0.469 0.151
Si 0.000 0.000 0.000
Ti 0.324 0.109 0.031
Te 0.312 0.769 0.919
Te 0.081 0.688 0.231

Output
Formation energy (no corrections) = -0.56 eV per atom
Volume = 526 Å³ per cell
Magnetization = 0.00 μB per atom